Entry from the Alexandria database: a geometry-optimized CsK2F structure (PBE).

Cell: 9.6333 9.6333 9.6333 Å, 90.00 90.00 90.00°
Last column: nearest neighbours and their distance in Å.
Space group Fm-3m (No. 225)
Asymmetric unit:
Cs 0.0000 0.0000 0.0000  8 K 4.17
K 0.2500 0.2500 0.2500  4 F 4.17, 4 Cs 4.17
F 0.0000 0.0000 0.5000  8 K 4.17

Output
Offset from the most stable computed form (meV per atom): 651.3

Entry from the Alexandria database: a geometry-optimized CsK4F5 structure (PBE).

Cell: 13.0377 3.9269 9.6690 Å, 90.00 119.46 90.00°
Last column: nearest neighbours and their distance in Å.
Space group C2/m (No. 12)
Asymmetric unit:
Cs 0.0000 0.0000 0.0000  6 F 2.90-2.94
K 0.0991 0.5000 0.4066  6 F 2.65-2.80
K 0.1980 0.0000 0.7909  6 F 2.66-2.89
F 0.0000 0.0000 0.5000  6 K 2.73-2.74
F 0.1094 0.5000 0.8860  4 K 2.66-2.89, 2 Cs 2.94
F 0.2056 0.0000 0.3140  5 K 2.65-2.79, 1 Cs 2.90

Output
E (eV/cell): -83.12

Entry from the Alexandria database: a geometry-optimized CsKLi2F4 structure (PBE).

Cell: 4.0822 4.0822 8.0344 Å, 90.00 90.00 90.00°
Last column: nearest neighbours and their distance in Å.
Space group P4/mmm (No. 123)
Asymmetric unit:
Cs 0.0000 0.0000 0.0000  8 F 3.01
K 0.0000 0.0000 0.5000  8 F 2.72
Li 0.5000 0.5000 0.2794  4 F 2.04
F 0.0000 0.5000 0.2760  2 Li 2.04

Output
E (eV/cell): -34.71

Entry from the Alexandria database: a geometry-optimized CsK2LiF structure (PBE).

Cell: 5.6957 5.6957 6.3117 Å, 90.00 90.00 90.00°
Last column: nearest neighbours and their distance in Å.
Space group P4/mmm (No. 123)
Asymmetric unit:
Cs 0.0000 0.0000 0.0000  2 F 3.16
K 0.0000 0.5000 0.5000  2 F 2.85
Li 0.5000 0.5000 0.0000  4 Cs 4.03, 8 K 4.25
F 0.0000 0.0000 0.5000  4 K 2.85, 2 Cs 3.16

Output
E (eV/cell): -11.53

Number 1: DOS at the Fermi energy 0.434 states/eV/atom. Number 2: DOS at the Fermi energy 0.000 states/eV/atom. Number 3: DOS at the Fermi energy 0.000 states/eV/atom. Number 4: DOS at the Fermi energy 0.457 states/eV/atom.